VASP calculation (PBE) on crystalline K3PaF7 at its relaxed geometry.

```
data_K3PaF7
_chemical_formula_sum 'K3 Pa1 F7'
_symmetry_space_group_name_H-M 'P 1'
_symmetry_Int_Tables_number 1
_cell_length_a 6.130
_cell_length_b 6.130
_cell_length_c 7.243
_cell_angle_alpha 65.49
_cell_angle_beta 65.49
_cell_angle_gamma 87.68
loop_
_symmetry_equiv_pos_as_xyz
'x,y,z'
loop_
_atom_site_label
_atom_site_type_symbol
_atom_site_fract_x
_atom_site_fract_y
_atom_site_fract_z
K1 K 0.769 0.238 0.491
K2 K 0.499 0.499 0.022
K3 K 0.238 0.769 0.491
Pa1 Pa 0.961 0.961 0.024
F1 F 0.145 0.145 0.146
F2 F 0.649 0.091 0.239
F3 F 0.948 0.324 0.772
F4 F 0.091 0.649 0.239
F5 F 0.638 0.638 0.261
F6 F 0.324 0.948 0.772
F7 F 0.863 0.863 0.792
```

Space group   Cm, No. 8
Energy relative to the elements, uncorrected   -3.337 eV/atom
E   -62.6 eV/cell
Size of the total moment   0.091 μB/atom